This record from Alexandria describes a relaxed SrP3O9 crystal. The functional is PBE.

## Properties
space-group type: No. 20
formation energy (no corrections): -2.2277 eV/atom

```
SrP3O9
1.0
-4.2883 3.1450 5.0551
0.8371 -6.9102 2.3201
6.1612 2.0690 3.9394
O P Sr
18 6 2
direct
0.0330 0.2449 0.0340
0.6434 0.6766 0.6658
0.7214 0.3089 0.9630
0.0256 0.2595 0.4668
0.9670 0.7551 0.5340
0.2786 0.6911 0.4630
0.2595 0.0256 0.5332
0.7405 0.9744 0.0332
0.3089 0.7214 0.0370
0.3234 0.3566 0.8342
0.8795 0.1205 0.7500
0.3566 0.3234 0.1658
0.7551 0.9670 0.4660
0.2449 0.0330 0.9660
0.6766 0.6434 0.3342
0.1205 0.8795 0.2500
0.9744 0.7405 0.9668
0.6911 0.2786 0.5370
0.8374 0.1703 0.5508
0.7476 0.7476 0.5000
0.2524 0.2524 0.0000
0.8297 0.1626 0.9492
0.1703 0.8374 0.4492
0.1626 0.8297 0.0508
0.3846 0.3846 0.5000
0.6154 0.6154 0.0000
```

---

This record from Alexandria describes a relaxed SrP2O2 crystal. The functional is PBE.

## Properties
space-group type: No. 123
formation energy (no corrections): 0.4839 eV/atom
energy above the lowest structure with this stoichiometry: 1.320 eV per atom

```
SrP2O2
1.0
-2.0673 1.4481 -3.5683
0.7629 -3.8157 -1.9905
-6.3867 -2.6467 2.6259
O P Sr
2 2 1
direct
0.0000 0.5000 0.0000
0.5000 0.0000 0.0000
0.5000 0.5000 0.5000
0.0000 0.0000 0.5000
0.0000 0.0000 0.0000
```

---

This record from Alexandria describes a relaxed Sr2PO4 crystal. The functional is PBE.

## Properties
space-group type: No. 11
formation energy (no corrections): -2.5130 eV/atom
energy above the lowest structure with this stoichiometry: 0.000 eV per atom

```
Sr2PO4
1.0
-0.3556 5.5102 -0.0491
-7.0214 -0.4744 -2.3826
-1.9888 -2.5752 6.3735
O Sr P
8 4 2
direct
0.6487 0.2500 0.0463
0.5683 0.0859 0.3337
0.4317 0.5859 0.6664
0.5683 0.4141 0.3336
0.3513 0.7500 0.9537
0.0033 0.2500 0.3848
0.4317 0.9141 0.6663
0.9967 0.7500 0.6152
0.5556 0.7500 0.3594
0.8656 0.7500 0.9073
0.4444 0.2500 0.6406
0.1344 0.2500 0.0927
0.7064 0.2500 0.2776
0.2936 0.7500 0.7224
```